A relaxed structure of Ho2CuSb4. Source: the Alexandria database, functional PBE.

Summary:
Uncorrected energy (Ry/atom): -0.3607
Formation energy from raw total energies (eV per atom): -0.66
Theoretical density (g cm⁻³): 8.283

Unit cell a=4.3529 b=4.3529 c=9.3157 alpha=90.00 beta=90.00 gamma=90.00
Fractional positions:
Ho 0.5000 0.0000 0.7623
Ho 0.0000 0.5000 0.2377
Cu 0.5000 0.5000 0.0000
Sb 0.5000 0.0000 0.1459
Sb 0.0000 0.5000 0.8541
Sb 0.5000 0.5000 0.5000
Sb 0.0000 0.0000 0.5000

---

A relaxed structure of HoCu4Sb. Source: the Alexandria database, functional PBE.

Summary:
Uncorrected energy (Ry/atom): -0.3201
Formation energy from raw total energies (eV per atom): -0.17
Theoretical density (g cm⁻³): 9.088

Unit cell a=5.1896 b=5.1896 c=5.1896 alpha=60.00 beta=60.00 gamma=60.00
Fractional positions:
Sb 0.2500 0.2500 0.2500
Ho 0.0000 0.0000 0.0000
Cu 0.6252 0.6252 0.1245
Cu 0.6252 0.1245 0.6252
Cu 0.6252 0.6252 0.6252
Cu 0.1245 0.6252 0.6252

---

A relaxed structure of HoCuSb3. Source: the Alexandria database, functional PBE.

Summary:
Uncorrected energy (Ry/atom): -0.3366
Formation energy from raw total energies (eV per atom): -0.37
Theoretical density (g cm⁻³): 8.246

Unit cell a=6.1697 b=6.2397 c=12.4239 alpha=90.00 beta=90.00 gamma=90.00
Fractional positions:
Ho 0.7500 0.5006 0.6911
Ho 0.2500 0.4994 0.3089
Ho 0.7500 0.0006 0.3089
Ho 0.2500 0.9994 0.6911
Cu 0.5000 0.2500 0.1117
Cu 0.0000 0.7500 0.8883
Cu 0.5000 0.7500 0.8883
Cu 0.0000 0.2500 0.1117
Sb 0.0000 0.2500 0.4971
Sb 0.5000 0.7500 0.5029
Sb 0.0000 0.7500 0.5029
Sb 0.5000 0.2500 0.4971
Sb 0.2500 0.1321 0.9426
Sb 0.7500 0.8679 0.0574
Sb 0.2500 0.6321 0.0574
Sb 0.7500 0.3679 0.9426
Sb 0.2500 0.4916 0.7622
Sb 0.7500 0.5084 0.2378
Sb 0.2500 0.9916 0.2378
Sb 0.7500 0.0084 0.7622

---

A relaxed structure of Ho4CuSb2. Source: the Alexandria database, functional PBE.

Summary:
Uncorrected energy (Ry/atom): -0.3593
Formation energy from raw total energies (eV per atom): -0.51
Theoretical density (g cm⁻³): 7.805

Unit cell a=4.1992 b=7.2944 c=7.9179 alpha=117.30 beta=105.38 gamma=90.00
Fractional positions:
Ho 0.8865 0.2212 0.7730
Ho 0.1135 0.7788 0.2270
Ho 0.6123 0.2833 0.2246
Ho 0.3877 0.7167 0.7754
Cu 0.0000 0.0000 0.0000
Sb 0.7495 0.7518 0.4989
Sb 0.2505 0.2482 0.5011

---

> Which of these has the lowest theoretical density?

Ho4CuSb2

---

Please write out number 1 again, unchanged.
A relaxed structure of Ho2CuSb4. Source: the Alexandria database, functional PBE.

Summary:
Uncorrected energy (Ry/atom): -0.3607
Formation energy from raw total energies (eV per atom): -0.66
Theoretical density (g cm⁻³): 8.283

Unit cell a=4.3529 b=4.3529 c=9.3157 alpha=90.00 beta=90.00 gamma=90.00
Fractional positions:
Ho 0.5000 0.0000 0.7623
Ho 0.0000 0.5000 0.2377
Cu 0.5000 0.5000 0.0000
Sb 0.5000 0.0000 0.1459
Sb 0.0000 0.5000 0.8541
Sb 0.5000 0.5000 0.5000
Sb 0.0000 0.0000 0.5000

---

> Which of these has the lowest uncorrected energy?

Ho2CuSb4

---

Copy entry 1 word for word.
A relaxed structure of Ho2CuSb4. Source: the Alexandria database, functional PBE.

Summary:
Uncorrected energy (Ry/atom): -0.3607
Formation energy from raw total energies (eV per atom): -0.66
Theoretical density (g cm⁻³): 8.283

Unit cell a=4.3529 b=4.3529 c=9.3157 alpha=90.00 beta=90.00 gamma=90.00
Fractional positions:
Ho 0.5000 0.0000 0.7623
Ho 0.0000 0.5000 0.2377
Cu 0.5000 0.5000 0.0000
Sb 0.5000 0.0000 0.1459
Sb 0.0000 0.5000 0.8541
Sb 0.5000 0.5000 0.5000
Sb 0.0000 0.0000 0.5000